## Li4MnCo3O8 (PBE+U)

Data for a relaxed structure of Li4MnCo3O8. Values from VASP.

Calculated values
ρ: 4.43 g cm⁻³
VASP energy: -5.87 eV/atom

The structure in Quantum ESPRESSO input format:
```
&SYSTEM
  ibrav = 0, nat = 16, ntyp = 4
/
ATOMIC_SPECIES
Li 6.94 Li.upf
Mn 54.94 Mn.upf
Co 58.93 Co.upf
O 16.00 O.upf
ATOMIC_POSITIONS crystal
Li 0.246 0.004 0.370
Li 0.249 0.002 0.878
Li 0.751 0.998 0.122
Li 0.754 0.996 0.630
Mn 0.000 0.500 0.500
Co 0.000 0.500 0.000
Co 0.487 0.495 0.758
Co 0.513 0.505 0.242
O 0.122 0.728 0.202
O 0.125 0.728 0.671
O 0.355 0.280 0.549
O 0.387 0.262 0.057
O 0.613 0.738 0.943
O 0.645 0.720 0.451
O 0.875 0.272 0.329
O 0.878 0.272 0.798
CELL_PARAMETERS angstrom
5.077 0.000 0.000
0.846 5.105 0.000
0.166 1.774 5.602
```